Computed, not measured: CdTe2Se after structural relaxation at the PBE-GGA level of DFT.

Results
- raw formation energy (meV/atom) = 238
- magnetic moment (μB/cell) = 0.00

a b c (Å): 5.2594 5.2594 5.2594
angles (deg): 60.00 60.00 60.00
Atoms (fractional coordinates):
1 Cd 0.5000 0.5000 0.5000
2 Se 0.7500 0.7500 0.7500
3 Te 0.0000 0.0000 0.0000
4 Te 0.2500 0.2500 0.2500